Density functional theory data (PBE-GGA) for crystalline Er5Ge2Pb at its relaxed geometry.

Summary:
- V: 414 Å³ per cell
- Crystal system: tetragonal
- ΔE_f: -0.6834 eV per atom
- Total magnetic moment: 0.0000 μB per atom

Cell: 8.6959 8.6959 8.6959 Å, 126.17 126.17 79.61°
Positions (direct):
Er (0.0000, 0.0000, 0.0000)
Er (0.0126, 0.5126, 0.8073)
Er (0.2053, 0.0126, 0.5000)
Er (0.2947, 0.7947, 0.8073)
Er (0.4874, 0.2947, 0.5000)
Er (0.5000, 0.5000, 0.0000)
Er (0.5126, 0.7053, 0.5000)
Er (0.7053, 0.2053, 0.1927)
Er (0.7947, 0.9874, 0.5000)
Er (0.9874, 0.4874, 0.1927)
Ge (0.1497, 0.3503, 0.5000)
Ge (0.3503, 0.8503, 0.2007)
Ge (0.6497, 0.1497, 0.7993)
Ge (0.8503, 0.6497, 0.5000)
Pb (0.2500, 0.2500, 0.0000)
Pb (0.7500, 0.7500, 0.0000)

***

Density functional theory data (PBE-GGA) for crystalline Cd2TcH at its relaxed geometry.

Summary:
- V: 70 Å³ per cell
- Crystal system: cubic
- Total magnetic moment: 0.6814 μB per atom
- Excess energy over the best structure of this formula in the dataset: 0.507 eV/atom

Cell: 4.6217 4.6217 4.6217 Å, 60.00 60.00 60.00°
Positions (direct):
Cd (0.2500, 0.2500, 0.2500)
Cd (0.7500, 0.7500, 0.7500)
Tc (0.0000, 0.0000, 0.0000)
H (0.5000, 0.5000, 0.5000)